Entry 1:
VASP calculation (GGA-PBE) on a relaxed structure of CoReCl.

Properties
ΔE_f (raw): 0.568 eV per atom
Energy above the lowest structure with this stoichiometry: 119 meV/atom
DFT total energy: -19.70 eV/f.u.

Cell: 2.840 2.840 11.943 Å, 90.00 90.00 90.00°
Space group I4mm (No. 107)
Inequivalent atoms, fractional coordinates:
1 Co 0.000 0.000 0.000 (multiplicity 2)
2 Re 0.000 0.000 0.619 (multiplicity 2)
3 Cl 0.000 0.000 0.272 (multiplicity 2)

=====

Entry 2:
VASP calculation (GGA-PBE) on a relaxed structure of CoReCl.

Properties
ΔE_f (raw): 0.914 eV per atom
Energy above the lowest structure with this stoichiometry: 465 meV/atom
DFT total energy: -18.66 eV/f.u.

Cell: 4.1698 4.1698 2.7533 Å, 90.00 90.00 120.00°
Space group P-6m2 (No. 187)
Inequivalent atoms, fractional coordinates:
1 Co 0.0000 0.0000 0.0000 (multiplicity 1)
2 Re 0.6667 0.3333 0.5000 (multiplicity 1)
3 Cl 0.3333 0.6667 0.5000 (multiplicity 1)

=====

Entry 3:
VASP calculation (GGA-PBE) on a relaxed structure of Co2ReCl.

Properties
ΔE_f (raw): 0.919 eV per atom
Energy above the lowest structure with this stoichiometry: 657 meV/atom
DFT total energy: -24.83 eV/f.u.

Cell: 5.884 5.884 5.884 Å, 90.00 90.00 90.00°
Space group F-43m (No. 216)
Inequivalent atoms, fractional coordinates:
1 Co 0.000 0.000 0.000 (multiplicity 4)
2 Co 0.250 0.250 0.250 (multiplicity 4)
3 Re 0.000 0.000 0.500 (multiplicity 4)
4 Cl 0.250 0.250 0.750 (multiplicity 4)

=====

Number 1: total moment 0.889 μB per formula unit. Number 2: total moment 1.444 μB per formula unit. Number 3: total moment 1.605 μB per formula unit.